# 1
Below is a relaxed structure of NiMo4, with properties calculated at the GGA-PBEsol level.

Geometry as POSCAR:
```
NiMo4
1.0
-2.459 -2.007 -0.077
-0.386 -2.212 4.502
-4.129 2.492 1.430
Ni Mo
1 4
Cartesian
0.000 0.000 0.000
-2.521 -2.046 2.898
-2.248 0.187 1.439
-4.727 -1.914 4.416
-4.453 0.319 2.957
```

Calculated values
magnetization: 0.00 μB/f.u.
ΔE_f: 161 meV per atom

***

# 2
Below is a relaxed structure of Ni2Mo, with properties calculated at the GGA-PBEsol level.

Geometry as POSCAR:
```
Ni2Mo
1.0
4.641 0.000 0.000
2.320 4.019 0.000
2.320 1.340 3.789
Ni Mo
4 2
Cartesian
3.481 0.670 0.474
2.320 2.679 0.474
1.160 0.670 0.474
2.320 1.340 2.368
4.641 2.679 1.895
6.961 4.019 2.842
```

Calculated values
magnetization: 0.01 μB/f.u.
ΔE_f: -30 meV per atom
E above lowest polymorph: 1.87 kcal/mol of atoms